Entry 1:
MnZn3Pb | meta-GGA SCAN | PBEsol geometry

abc: 4.691 4.691 4.691
angles: 90.00 90.00 90.00
Space group Pm-3m (No. 221)
Asymmetric unit:
Mn (0.000, 0.000, 0.000) [1 per cell]
Zn (0.000, 0.000, 0.500) [3 per cell]
Pb (0.500, 0.500, 0.500) [1 per cell]

Total energy = -132.20 eV/cell
ΔE to the lowest computed polymorph = 0 meV/atom
E_form = 0.476 eV per atom

***

Entry 2:
Sm6Ti4Al43 | meta-GGA SCAN | PBEsol geometry

abc: 11.0235 11.0235 17.8532
angles: 90.00 90.00 120.00
Space group P6_3/mcm (No. 193)
Asymmetric unit:
Sm (0.0000, 0.4713, 0.0959) [12 per cell]
Ti (0.0000, 0.0000, 0.0000) [2 per cell]
Ti (0.0000, 0.2716, 0.2500) [6 per cell]
Al (0.0000, 0.1463, 0.7500) [6 per cell]
Al (0.0000, 0.1556, 0.1166) [12 per cell]
Al (0.0000, 0.2513, 0.5290) [12 per cell]
Al (0.1500, 0.5531, 0.2500) [12 per cell]
Al (0.1590, 0.3927, 0.6644) [24 per cell]
Al (0.2473, 0.4947, 0.0000) [12 per cell]
Al (0.3333, 0.6667, 0.1261) [8 per cell]

Total energy = -1366.60 eV/cell
E_form = -0.362 eV per atom

***

Entry 3:
WBr | meta-GGA SCAN | PBEsol geometry

abc: 6.601 6.601 6.601
angles: 90.00 90.00 90.00
Space group Fd-3m (No. 227, origin choice 2)
Asymmetric unit:
W (0.125, 0.125, 0.125) [8 per cell]
Br (0.125, 0.125, 0.625) [8 per cell]

Total energy = -684.78 eV/cell
Formation energy from raw total energies = 1.77 eV/atom
ΔE to the lowest computed polymorph = 1613 meV/atom